DFT (PBE) results for a relaxed SrLi4Ta crystal. Values from VASP.

Computed properties:
* symmetry: F-43m
* DFT total energy: -2.952 eV/atom
* M_tot: 3.0 μB per formula unit

Cell and atoms, written as Quantum ESPRESSO input:
```
&SYSTEM
  ibrav = 0, nat = 6, ntyp = 3
/
ATOMIC_SPECIES
Li 6.94 Li.upf
Sr 87.62 Sr.upf
Ta 180.95 Ta.upf
CELL_PARAMETERS angstrom
-2.1850 -3.3706 4.0787
-0.2492 1.8492 5.4119
-5.0578 1.2730 2.3597
ATOMIC_POSITIONS crystal
Li 0.3708 0.8877 0.3708
Li 0.3708 0.3708 0.8877
Li 0.3708 0.3708 0.3708
Li 0.8877 0.3708 0.3708
Sr 0.7500 0.7500 0.7500
Ta 0.0000 0.0000 0.0000
```